# 1
The following is a GGA-PBE calculation of an optimized crystal structure of Sm2PaB2N6, from the Alexandria database.

Output
- Density: 7.1 g/cm3
- Formation energy (no corrections): -1.0671 eV per atom
- DOS(E_F): 0.61 states/eV per atom

a = 5.5401 Å, b = 5.5401 Å, c = 5.5796 Å
α = 90.00°, β = 90.00°, γ = 120.00°
Space group P-3 (No. 147)
Unique sites:
Sm1 0.3333 0.6667 0.3330 (multiplicity 2)
Pa1 0.0000 0.0000 0.0000 (multiplicity 1)
B1 0.3333 0.6667 0.7919 (multiplicity 2)
N1 0.1170 0.3768 0.7645 (multiplicity 6)



# 2
The following is a GGA-PBE calculation of an optimized crystal structure of TlCuIr, from the Alexandria database.

Output
- Density: 12.8 g/cm3
- Excess energy over the best structure of this formula in the dataset: 0.27 eV/f.u.
- DOS(E_F): 0.44 states/eV per atom
- Formation energy: 534 meV/atom

a = 6.206 Å, b = 6.206 Å, c = 6.206 Å
α = 90.00°, β = 90.00°, γ = 90.00°
Space group F-43m (No. 216)
Unique sites:
Tl1 0.000 0.000 0.000 (multiplicity 4)
Cu1 0.000 0.000 0.500 (multiplicity 4)
Ir1 0.250 0.250 0.250 (multiplicity 4)



# 3
The following is a GGA-PBE calculation of an optimized crystal structure of Ba2CaRh, from the Alexandria database.

Output
- Density: 3.8 g/cm3
- Excess energy over the best structure of this formula in the dataset: 0.28 eV/f.u.
- DOS(E_F): 0.57 states/eV per atom
- Formation energy: -143 meV/atom

a = 4.351 Å, b = 6.333 Å, c = 13.082 Å
α = 90.00°, β = 90.00°, γ = 90.00°
Space group Amm2 (No. 38)
Unique sites:
Ba1 0.000 0.000 0.000 (multiplicity 2)
Ba2 0.500 0.000 0.337 (multiplicity 2)
Ca1 0.000 0.000 0.703 (multiplicity 2)
Rh1 0.500 0.000 0.840 (multiplicity 2)



# 4
The following is a GGA-PBE calculation of an optimized crystal structure of PaHg2I7, from the Alexandria database.

Output
- Density: 5.1 g/cm3
- Formation energy (no corrections): -0.5666 eV per atom

a = 14.386 Å, b = 13.132 Å, c = 11.252 Å
α = 90.00°, β = 110.72°, γ = 90.00°
Space group C2/c (No. 15)
Unique sites:
Pa1 0.000 0.003 0.250 (multiplicity 4)
Hg1 0.209 0.484 0.360 (multiplicity 8)
I1 0.000 0.495 0.250 (multiplicity 4)
I2 0.086 0.107 0.540 (multiplicity 8)
I3 0.154 0.154 0.253 (multiplicity 8)
I4 0.157 0.145 0.887 (multiplicity 8)



# 5
The following is a GGA-PBE calculation of an optimized crystal structure of KCdIn11, from the Alexandria database.

Output
- Density: 6.3 g/cm3
- DOS(E_F): 0.34 states/eV per atom
- Formation energy: -16 meV/atom

a = 6.232 Å, b = 15.528 Å, c = 8.223 Å
α = 90.00°, β = 110.09°, γ = 90.00°
Space group C2/m (No. 12)
Unique sites:
K1 0.000 0.000 0.000 (multiplicity 2)
Cd1 0.000 0.500 0.500 (multiplicity 2)
In1 0.000 0.000 0.500 (multiplicity 2)
In2 0.105 0.394 0.215 (multiplicity 8)
In3 0.181 0.177 0.360 (multiplicity 8)
In4 0.250 0.250 0.000 (multiplicity 4)



# 6
The following is a GGA-PBE calculation of an optimized crystal structure of FeMoRh14, from the Alexandria database.

Output
- Density: 11.7 g/cm3
- DOS(E_F): 1.31 states/eV per atom
- Formation energy: -51 meV/atom

a = 5.432 Å, b = 5.432 Å, c = 7.684 Å
α = 90.00°, β = 90.00°, γ = 90.00°
Space group P4/mmm (No. 123)
Unique sites:
Fe1 0.000 0.000 0.000 (multiplicity 1)
Mo1 0.500 0.500 0.000 (multiplicity 1)
Rh1 0.000 0.000 0.500 (multiplicity 1)
Rh2 0.000 0.500 0.000 (multiplicity 2)
Rh3 0.000 0.500 0.500 (multiplicity 2)
Rh4 0.250 0.250 0.247 (multiplicity 8)
Rh5 0.500 0.500 0.500 (multiplicity 1)